# Mg3Zr5

A crystal of Mg3Zr5 relaxed with PBEsol (SCAN, the Alexandria database).

Summary:
* volume: 345.9 Å³/cell
* VASP energy: -20.990 eV per atom
* formation energy from the elements: 0.06 eV/atom

Cell and atoms, written as CIF:
```
data_Mg3Zr5
_cell_length_a 8.190
_cell_length_b 9.512
_cell_length_c 4.440
_cell_angle_alpha 90.00
_cell_angle_beta 90.00
_cell_angle_gamma 90.00
_symmetry_space_group_name_H-M 'C m m m'
_symmetry_Int_Tables_number 65
_symmetry_space_group_name_Hall '-C 2 2'
loop_
_atom_site_label
_atom_site_type_symbol
_atom_site_fract_x
_atom_site_fract_y
_atom_site_fract_z
Mg1 Mg 0.000 0.000 0.000
Mg2 Mg 0.226 0.000 0.500
Zr1 Zr 0.000 0.282 0.500
Zr2 Zr 0.000 0.500 0.000
Zr3 Zr 0.250 0.250 0.000
```